A plane-wave DFT calculation with GGA-PBE was carried out for a relaxed Mg4InCo crystal.

Cell lengths 5.1229, 7.0896, 8.0989 Å; angles 115.96, 108.35, 90.00 degrees
Fractional positions:
1 Co 0.2770 0.5000 0.9999
2 Mg 0.3776 0.1277 0.7549
3 Co 0.7230 0.5000 0.0001
4 Mg 0.0000 0.2035 0.0000
5 In 0.1946 0.1926 0.3852
6 Mg 0.6224 0.3728 0.2451
7 In 0.8054 0.8074 0.6148
8 Mg 0.6224 0.8723 0.2451
9 Mg 0.0000 0.7965 0.0000
10 Mg 0.3776 0.6272 0.7549
11 Mg 0.1683 0.6694 0.3388
12 Mg 0.8317 0.3306 0.6612

Properties
energy	-32.76	eV per cell
size of the total moment	0.1288	μB/atom
ΔH_f (0 K)	-0.60	kcal/mol of atoms
energy above the most stable polymorph in this dataset	0.00	kcal/mol of atoms